## CeErFeCo (PBE)

Data for crystalline CeErFeCo at its relaxed geometry.

```
4
Lattice="-3.154 -3.461 -0.593 1.261 -3.994 -2.177 0.401 -4.006 2.464" Properties=species:S:1:pos:R:3 pbc="T T T"
Co -0.373 -2.865 -0.077
Er 0.000 0.000 0.000
Fe -1.119 -8.596 -0.230
Ce -0.746 -5.730 -0.153
```

Final energy (eV per atom): -6.539
Calculated volume (A^3/atom): 18.59

***

## CeEuErMg (PBE)

Data for crystalline CeEuErMg at its relaxed geometry.

```
4
Lattice="5.616 0.000 0.000 2.808 4.864 0.000 2.808 1.621 4.586" Properties=species:S:1:pos:R:3 pbc="T T T"
Mg 0.000 0.000 0.000
Ce 8.425 4.864 3.439
Er 5.616 3.243 2.293
Eu 2.808 1.621 1.146
```

Final energy (eV per atom): -5.435
Calculated volume (A^3/atom): 31.32

***

## GaAgPb (PBE)

Data for crystalline GaAgPb at its relaxed geometry.

```
12
Lattice="5.763 0.000 0.000 0.000 4.713 0.000 0.000 0.000 10.274" Properties=species:S:1:pos:R:3 pbc="T T T"
Pb 0.682 3.535 8.955
Pb 3.563 3.535 6.456
Pb 5.082 1.178 1.319
Pb 2.200 1.178 3.818
Ga 1.913 3.535 1.871
Ga 3.850 1.178 8.403
Ga 0.968 1.178 7.008
Ga 4.795 3.535 3.266
Ag 3.603 3.535 9.845
Ag 0.721 3.535 5.566
Ag 5.042 1.178 4.708
Ag 2.160 1.178 0.429
```

Final energy (eV per atom): -3.129
Calculated volume (A^3/atom): 23.26

***

## K2VPH (PBE)

Data for crystalline K2VPH at its relaxed geometry.

```
5
Lattice="4.787 0.000 0.000 0.000 4.606 0.000 0.000 0.000 4.787" Properties=species:S:1:pos:R:3 pbc="T T T"
V 0.000 2.303 0.000
P 2.393 2.303 2.393
K 2.393 0.000 0.000
K 0.000 0.000 2.393
H 0.000 0.000 0.000
```

Final energy (eV per atom): -3.562
Calculated volume (A^3/atom): 21.11

***

| no. | density of states at the Fermi level (states/eV/cell) |
| --- | --- |
| 1 | 2.9 |
| 2 | 8.6 |
| 3 | 4.2 |
| 4 | 2.5 |